First-principles (GGA-PBE) data for an optimized crystal structure of K2RbF, as listed in the Alexandria database.

The density of states at the Fermi level is 0.6542 states/eV per atom. As for the energy relative to the elements, uncorrected: -28.6 kcal/mol of atoms. The value obtained for the final energy is -2.499 eV/atom. The polymorph energy (0 for the lowest one) is 0.0502 eV/atom.

It has space group R3m (No. 160, hexagonal axes), with a = 4.2794 Å, b = 4.2794 Å, c = 34.2357 Å, α = 90.00°, β = 90.00° and γ = 120.00°. Symmetry generates all atoms from K at (0.0000, 0.0000, 0.0000), K at (0.0000, 0.0000, 0.2473), Rb at (0.0000, 0.0000, 0.7900) and F at (0.0000, 0.0000, 0.6240).

First-principles (GGA-PBE) data for an optimized crystal structure of CeScTl, as listed in the Alexandria database.

The density of states at the Fermi level is 1.7554 states/eV per atom. The value obtained for the final energy is -5.098 eV/atom. The polymorph energy (0 for the lowest one) is 0.0000 eV/atom. The formation energy comes out at -0.22 eV per atom.

It has space group P6_3/mmc (No. 194), with a = 5.2899 Å, b = 5.2899 Å, c = 6.4180 Å, α = 90.00°, β = 90.00° and γ = 120.00°. Symmetry generates all atoms from Ce at (0.0000, 0.0000, 0.0000), Sc at (0.3333, 0.6667, 0.2500) and Tl at (0.3333, 0.6667, 0.7500).